No. 1
# NaLiMoCl6 | the Alexandria database | PBE | optimized geometry
data_NaLiMoCl6
_chemical_formula_sum 'Na2 Li2 Mo2 Cl12'
_cell_length_a 6.4444
_cell_length_b 6.4444
_cell_length_c 12.3036
_cell_angle_alpha 90.00
_cell_angle_beta 90.00
_cell_angle_gamma 120.00
_space_group_name_H-M_alt 'P -3 1 c'
_space_group_IT_number 163
_space_group_name_Hall '-P 3 2c'
loop_
_atom_site_label
_atom_site_fract_x
_atom_site_fract_y
_atom_site_fract_z
Na1 0.0000 0.0000 0.0000
Li1 0.3333 0.6667 0.2500
Mo1 0.3333 0.6667 0.7500
Cl1 0.0201 0.3703 0.6379
# Mass density: 2541 kg/m3
# Calculated total energy: -36.56 eV/f.u.


No. 2
# NaLi2MoCl8 | the Alexandria database | PBE | optimized geometry
data_NaLi2MoCl8
_chemical_formula_sum 'Na1 Li2 Mo1 Cl8'
_cell_length_a 5.989
_cell_length_b 6.206
_cell_length_c 8.223
_cell_angle_alpha 89.72
_cell_angle_beta 89.80
_cell_angle_gamma 86.17
_space_group_name_H-M_alt 'P -1'
_space_group_IT_number 2
loop_
_space_group_symop_operation_xyz
'x,y,z'
'-x,-y,-z'
loop_
_atom_site_label
_atom_site_fract_x
_atom_site_fract_y
_atom_site_fract_z
Na1 0.000 0.000 0.000
Li1 0.497 0.499 0.182
Mo1 0.000 0.000 0.500
Cl1 0.225 0.288 0.498
Cl2 0.228 0.829 0.295
Cl3 0.228 0.829 0.705
Cl4 0.289 0.316 0.999
# Mass density: 2268 kg/m3
# Calculated total energy: -45.51 eV/f.u.


No. 3
# LiNiMoCl2 | the Alexandria database | PBE | optimized geometry
data_LiNiMoCl2
_chemical_formula_sum 'Li1 Ni1 Mo1 Cl2'
_cell_length_a 4.621
_cell_length_b 4.621
_cell_length_c 4.591
_cell_angle_alpha 90.00
_cell_angle_beta 90.00
_cell_angle_gamma 90.00
_space_group_name_H-M_alt 'P 4/m m m'
_space_group_IT_number 123
_space_group_name_Hall '-P 4 2'
loop_
_atom_site_label
_atom_site_fract_x
_atom_site_fract_y
_atom_site_fract_z
Li1 0.000 0.000 0.000
Ni1 0.000 0.000 0.500
Mo1 0.500 0.500 0.000
Cl1 0.000 0.500 0.500
# Mass density: 3937 kg/m3
# Calculated total energy: -19.24 eV/f.u.


Number 1: raw formation energy -1268 meV per atom. Number 2: raw formation energy -1230 meV per atom. Number 3: raw formation energy 596 meV per atom.